6
Lattice="5.065 0.000 0.000 0.000 2.692 0.000 -0.431 0.000 6.541" Properties=species:S:1:pos:R:3 comment="LiTcPt GGA-PBE optimized geometry" total_magnetization_mub_per_cell=0.000 crystal_system=monoclinic energy_ev_per_cell=-37.8 dos_ef_per_ev_cell=3.64 pbc="T T T"
Li 0.000 0.000 0.000
Li 0.803 0.000 4.299
Tc 2.251 0.000 1.858
Tc 3.276 0.000 3.895
Pt -0.082 1.346 2.220
Pt 2.338 1.346 6.062